A geometry-optimized Ca2MnO4 structure. Source: Alexandria via LeMat-Bulk, functional PBE with a Hubbard U.

Results
The calculation puts the calculated volume at 340.1 Å³/cell. The calculated total energy is -6.816 eV per atom. As for the energy above the most stable polymorph in this dataset: 0.00 eV/f.u.

Cell lengths 5.318, 5.326, 12.007 Å; angles 90.00, 90.00, 90.00 degrees
Fractional positions:
Ca  0.008  0.032  0.149
Ca  0.008  0.468  0.649
Ca  0.492  0.532  0.149
Ca  0.492  0.968  0.649
Ca  0.508  0.032  0.351
Ca  0.508  0.468  0.851
Ca  0.992  0.532  0.351
Ca  0.992  0.968  0.851
Mn  0.000  0.000  0.500
Mn  0.000  0.500  0.000
Mn  0.500  0.000  0.000
Mn  0.500  0.500  0.500
O  0.044  0.008  0.662
O  0.044  0.492  0.162
O  0.206  0.206  0.982
O  0.206  0.294  0.482
O  0.294  0.706  0.982
O  0.294  0.794  0.482
O  0.456  0.508  0.662
O  0.456  0.992  0.162
O  0.544  0.008  0.838
O  0.544  0.492  0.338
O  0.706  0.206  0.518
O  0.706  0.294  0.018
O  0.794  0.706  0.518
O  0.794  0.794  0.018
O  0.956  0.508  0.838
O  0.956  0.992  0.338


A geometry-optimized Ca2Mn3O8 structure. Source: Alexandria via LeMat-Bulk, functional PBE with a Hubbard U.

Results
The calculation puts the calculated volume at 326.9 Å³/cell. The calculated total energy is -6.958 eV per atom. As for the energy above the most stable polymorph in this dataset: 1.35 eV/f.u.

Cell lengths 5.990, 5.990, 10.520 Å; angles 90.00, 90.00, 120.00 degrees
Fractional positions:
Ca  0.333  0.667  0.000
Ca  0.333  0.667  0.405
Ca  0.667  0.333  0.500
Ca  0.667  0.333  0.905
Mn  0.164  0.329  0.719
Mn  0.164  0.836  0.719
Mn  0.329  0.164  0.219
Mn  0.671  0.836  0.719
Mn  0.836  0.164  0.219
Mn  0.836  0.671  0.219
O  0.000  0.000  0.315
O  0.000  0.000  0.815
O  0.044  0.522  0.821
O  0.154  0.307  0.128
O  0.154  0.846  0.128
O  0.307  0.154  0.628
O  0.333  0.667  0.623
O  0.478  0.522  0.821
O  0.478  0.956  0.821
O  0.522  0.044  0.321
O  0.522  0.478  0.321
O  0.667  0.333  0.123
O  0.693  0.846  0.128
O  0.846  0.154  0.628
O  0.846  0.693  0.628
O  0.956  0.478  0.321


A geometry-optimized CaMn3O structure. Source: Alexandria via LeMat-Bulk, functional PBE with a Hubbard U.

Results
The calculation puts the calculated volume at 98.8 Å³/cell. The calculated total energy is -5.882 eV per atom. As for the energy above the most stable polymorph in this dataset: 0.00 eV/f.u.

Cell lengths 4.623, 4.623, 4.623 Å; angles 90.00, 90.00, 90.00 degrees
Fractional positions:
Ca  0.000  0.000  0.000
Mn  0.000  0.500  0.500
Mn  0.500  0.000  0.500
Mn  0.500  0.500  0.000
O  0.500  0.500  0.500


Q: Among the records above, which one has the highest calculated volume?
A: Ca2MnO4